No. 1
Here is Nb12NiSn6 after structural relaxation from the Alexandria database. Energies are from PBE-GGA.

The value obtained for the total moment is 0.00 μB per atom.

The structure belongs to space group R-3 (No. 148, hexagonal axes); the cell edges are 10.1021, 10.1021 and 12.3878 Å and the angles 90.00°, 90.00° and 120.00°. The distinct sites, in fractional coordinates, are Nb at (0.0543, 0.8707, 0.3053), Nb at (0.0689, 0.2214, 0.9134), Ni at (0.0000, 0.0000, 0.5000) and Sn at (0.0321, 0.5889, 0.2134).

***

No. 2
Here is Nb2Ni3Sn after structural relaxation from the Alexandria database. Energies are from PBE-GGA.

The value obtained for the total moment is 0.00 μB per atom. The calculation puts the offset from the most stable computed form at 0.0 kJ/mol of atoms.

The structure belongs to space group P-3m1 (No. 164); the cell edges are 5.0530, 5.0530 and 8.1905 Å and the angles 90.00°, 90.00° and 120.00°. The distinct sites, in fractional coordinates, are Nb at (0.0000, 0.0000, 0.0000), Nb at (0.0000, 0.0000, 0.5000), Nb at (0.3333, 0.6667, 0.0652), Ni at (0.1712, 0.3424, 0.7532) and Sn at (0.3333, 0.6667, 0.4218).

***

No. 3
Here is NbNi2Sn2 after structural relaxation from the Alexandria database. Energies are from PBE-GGA.

The value obtained for the total moment is 0.00 μB per atom. The calculation puts the offset from the most stable computed form at 5.4 kJ/mol of atoms.

The structure belongs to space group P4/mbm (No. 127); the cell edges are 7.529, 7.529 and 2.962 Å and the angles 90.00°, 90.00° and 90.00°. The distinct sites, in fractional coordinates, are Nb at (0.000, 0.000, 0.000), Ni at (0.147, 0.353, 0.500) and Sn at (0.149, 0.649, 0.000).

***

No. 4
Here is NbNi12Sn3 after structural relaxation from the Alexandria database. Energies are from PBE-GGA.

The value obtained for the total moment is 0.00 μB per atom.

The structure belongs to space group P4/mmm (No. 123); the cell edges are 3.727, 3.727 and 14.817 Å and the angles 90.00°, 90.00° and 90.00°. The distinct sites, in fractional coordinates, are Nb at (0.000, 0.000, 0.000), Ni at (0.000, 0.500, 0.120), Ni at (0.000, 0.500, 0.374), Ni at (0.500, 0.500, 0.000), Ni at (0.500, 0.500, 0.246), Ni at (0.500, 0.500, 0.500), Sn at (0.000, 0.000, 0.250) and Sn at (0.000, 0.000, 0.500).

***

No. 5
Here is Nb2VNiSn after structural relaxation from the Alexandria database. Energies are from PBE-GGA.

The value obtained for the total moment is 0.00 μB per atom.

The structure belongs to space group P4/mmm (No. 123); the cell edges are 4.631, 4.631 and 4.570 Å and the angles 90.00°, 90.00° and 90.00°. The distinct sites, in fractional coordinates, are Nb at (0.000, 0.500, 0.000), V at (0.000, 0.000, 0.500), Ni at (0.500, 0.500, 0.000) and Sn at (0.500, 0.500, 0.500).

***

No. 6
Here is Sr2NbNi after structural relaxation from the Alexandria database. Energies are from PBE-GGA.

The value obtained for the total moment is 1.19 μB per atom. The calculation puts the offset from the most stable computed form at 21.7 kJ/mol of atoms.

The structure belongs to space group Fm-3m (No. 225); the cell edges are 7.698, 7.698 and 7.698 Å and the angles 90.00°, 90.00° and 90.00°. The distinct sites, in fractional coordinates, are Sr at (0.250, 0.250, 0.250), Nb at (0.000, 0.000, 0.000) and Ni at (0.000, 0.000, 0.500).

***

No. 7
Here is SrNb2Ni2 after structural relaxation from the Alexandria database. Energies are from PBE-GGA.

The value obtained for the total moment is 0.00 μB per atom. The calculation puts the offset from the most stable computed form at 15.8 kJ/mol of atoms.

The structure belongs to space group I4/mmm (No. 139); the cell edges are 4.619, 4.619 and 9.576 Å and the angles 90.00°, 90.00° and 90.00°. The distinct sites, in fractional coordinates, are Sr at (0.000, 0.000, 0.000), Nb at (0.000, 0.000, 0.353) and Ni at (0.000, 0.500, 0.250).

***

No. 8
Here is Sr3NbNi after structural relaxation from the Alexandria database. Energies are from PBE-GGA.

The value obtained for the total moment is 0.86 μB per atom. The calculation puts the offset from the most stable computed form at 0.0 kJ/mol of atoms.

The structure belongs to space group Pm-3m (No. 221); the cell edges are 5.692, 5.692 and 5.692 Å and the angles 90.00°, 90.00° and 90.00°. The distinct sites, in fractional coordinates, are Sr at (0.000, 0.000, 0.500), Nb at (0.500, 0.500, 0.500) and Ni at (0.000, 0.000, 0.000).

***

No. 9
Here is Sr3NbNi after structural relaxation from the Alexandria database. Energies are from PBE-GGA.

The value obtained for the total moment is 0.00 μB per atom. The calculation puts the offset from the most stable computed form at 57.9 kJ/mol of atoms.

The structure belongs to space group Pm-3m (No. 221); the cell edges are 5.752, 5.752 and 5.752 Å and the angles 90.00°, 90.00° and 90.00°. The distinct sites, in fractional coordinates, are Sr at (0.000, 0.000, 0.500), Nb at (0.000, 0.000, 0.000) and Ni at (0.500, 0.500, 0.500).

***

No. 10
Here is SrNbNi2 after structural relaxation from the Alexandria database. Energies are from PBE-GGA.

The value obtained for the total moment is 0.00 μB per atom. The calculation puts the offset from the most stable computed form at 7.7 kJ/mol of atoms.

The structure belongs to space group I-42d (No. 122); the cell edges are 7.204, 7.204 and 6.719 Å and the angles 90.00°, 90.00° and 90.00°. The distinct sites, in fractional coordinates, are Sr at (0.000, 0.000, 0.000), Nb at (0.000, 0.000, 0.500) and Ni at (0.183, 0.250, 0.625).

***

No. 11
Here is Sr2NbNi after structural relaxation from the Alexandria database. Energies are from PBE-GGA.

The value obtained for the total moment is 0.55 μB per atom. The calculation puts the offset from the most stable computed form at 0.0 kJ/mol of atoms.

The structure belongs to space group I-42d (No. 122); the cell edges are 11.261, 11.261 and 4.672 Å and the angles 90.00°, 90.00° and 90.00°. The distinct sites, in fractional coordinates, are Sr at (0.083, 0.250, 0.125), Nb at (0.000, 0.000, 0.500) and Ni at (0.000, 0.000, 0.000).

***

No. 12
Here is SrNb2Ni after structural relaxation from the Alexandria database. Energies are from PBE-GGA.

The value obtained for the total moment is 0.00 μB per atom. The calculation puts the offset from the most stable computed form at 0.0 kJ/mol of atoms.

The structure belongs to space group I4_1/amd (No. 141, origin choice 2); the cell edges are 4.916, 4.916 and 17.897 Å and the angles 90.00°, 90.00° and 90.00°. The distinct sites, in fractional coordinates, are Sr at (0.000, 0.250, 0.375), Nb at (0.000, 0.000, 0.000) and Ni at (0.000, 0.250, 0.875).

***

Summary of energy of formation from the pure elements in eV per formula unit
0.1 -0.7 0.0 -3.5 4.2 3.5 1.7 3.6 6.6 2.3 2.6 3.8
(order as listed above)